Here is a relaxed structure of Os2Rh from the Alexandria database. Energies are from GGA-PBEsol.

The value obtained for the distance to the lowest polymorph of the same formula is 0.22 eV per formula unit. The formation energy comes out at 0.08 eV per atom. The total energy is -10.779 eV per atom.

The structure belongs to space group I4/mmm (No. 139); the cell edges are 2.693, 2.693 and 11.441 Å and the angles 90.00°, 90.00° and 90.00°. The asymmetric unit holds Os at (0.000, 0.000, 0.169) and Rh at (0.000, 0.000, 0.500).